[1]
# PBE Al2InH6, optimized geometry
# magnetization: 0.0 μB/cell
# V: 360.53 Å³/cell
# crystal system: cubic
# raw total energy: -2.6631 eV per atom
data_Al2InH6
_space_group_name_H-M_alt 'F m -3 m'
_space_group_IT_number 225
_space_group_name_Hall '-F 4 2 3'
_cell_length_a 7.117
_cell_length_b 7.117
_cell_length_c 7.117
_cell_angle_alpha 90.00
_cell_angle_beta 90.00
_cell_angle_gamma 90.00
loop_
_atom_site_label
_atom_site_fract_x
_atom_site_fract_y
_atom_site_fract_z
_atom_site_occupancy
Al1 0.250 0.250 0.250 1
In1 0.000 0.000 0.000 1
H1 0.000 0.000 0.276 1

[2]
# PBE AlInH3, optimized geometry
# magnetization: 0.0 μB/cell
# V: 56.21 Å³/cell
# crystal system: cubic
# raw total energy: -3.0293 eV per atom
data_AlInH3
_space_group_name_H-M_alt 'P m -3 m'
_space_group_IT_number 221
_space_group_name_Hall '-P 4 2 3'
_cell_length_a 3.831
_cell_length_b 3.831
_cell_length_c 3.831
_cell_angle_alpha 90.00
_cell_angle_beta 90.00
_cell_angle_gamma 90.00
loop_
_atom_site_label
_atom_site_fract_x
_atom_site_fract_y
_atom_site_fract_z
_atom_site_occupancy
Al1 0.000 0.000 0.000 1
In1 0.500 0.500 0.500 1
H1 0.000 0.000 0.500 1

[3]
# PBE Al3InH, optimized geometry
# magnetization: 0.0 μB/cell
# V: 79.00 Å³/cell
# crystal system: cubic
# raw total energy: -3.2181 eV per atom
data_Al3InH
_space_group_name_H-M_alt 'P m -3 m'
_space_group_IT_number 221
_space_group_name_Hall '-P 4 2 3'
_cell_length_a 4.291
_cell_length_b 4.291
_cell_length_c 4.291
_cell_angle_alpha 90.00
_cell_angle_beta 90.00
_cell_angle_gamma 90.00
loop_
_atom_site_label
_atom_site_fract_x
_atom_site_fract_y
_atom_site_fract_z
_atom_site_occupancy
Al1 0.000 0.000 0.500 1
In1 0.500 0.500 0.500 1
H1 0.000 0.000 0.000 1

- Which value of magnetization does entry 2 give?
  0.0 μB/cell

Please write out number 3 again, unchanged.
# PBE Al3InH, optimized geometry
# magnetization: 0.0 μB/cell
# V: 79.00 Å³/cell
# crystal system: cubic
# raw total energy: -3.2181 eV per atom
data_Al3InH
_space_group_name_H-M_alt 'P m -3 m'
_space_group_IT_number 221
_space_group_name_Hall '-P 4 2 3'
_cell_length_a 4.291
_cell_length_b 4.291
_cell_length_c 4.291
_cell_angle_alpha 90.00
_cell_angle_beta 90.00
_cell_angle_gamma 90.00
loop_
_atom_site_label
_atom_site_fract_x
_atom_site_fract_y
_atom_site_fract_z
_atom_site_occupancy
Al1 0.000 0.000 0.500 1
In1 0.500 0.500 0.500 1
H1 0.000 0.000 0.000 1

- What is the raw total energy in the second record?
  -3.0293 eV per atom